A relaxed Sr5Ca4Ac2 crystal, computed with GGA-PBE.

Cell: 13.966 13.966 10.047 Å, 93.42 93.42 15.85°
Sites, in units of the cell vectors:
Sr 0.000 0.000 0.000
Sr 0.270 0.270 0.189
Sr 0.362 0.362 0.892
Sr 0.638 0.638 0.108
Sr 0.730 0.730 0.811
Ca 0.174 0.174 0.472
Ca 0.454 0.454 0.633
Ca 0.546 0.546 0.367
Ca 0.826 0.826 0.528
Ac 0.410 0.410 0.270
Ac 0.590 0.590 0.730

Computed properties:
calculated total energy = -23.011 eV per cell
mass density = 3.272 Mg/m³

***

A relaxed SrCaAc2 crystal, computed with GGA-PBE.

Cell: 6.377 6.377 6.377 Å, 60.00 60.00 60.00°
Sites, in units of the cell vectors:
Sr 0.000 0.000 0.000
Ca 0.500 0.500 0.500
Ac 0.250 0.250 0.250
Ac 0.750 0.750 0.750

Computed properties:
offset from the most stable computed form = 6.9 kJ/mol of atoms
mass density = 5.266 Mg/m³

***

A relaxed Sr3CaAc crystal, computed with GGA-PBE.

Cell: 13.704 13.704 13.704 Å, 29.97 29.97 29.97°
Sites, in units of the cell vectors:
Sr 0.088 0.749 0.412
Sr 0.251 0.588 0.912
Sr 0.412 0.088 0.749
Sr 0.588 0.912 0.251
Sr 0.749 0.412 0.088
Sr 0.912 0.251 0.588
Ca 0.333 0.333 0.333
Ca 0.667 0.667 0.667
Ac 0.167 0.167 0.167
Ac 0.833 0.833 0.833

Computed properties:
offset from the most stable computed form = 24.3 kJ/mol of atoms
mass density = 3.094 Mg/m³

***

A relaxed Sr6Ca8Ac crystal, computed with GGA-PBE.

Cell: 10.005 10.005 10.005 Å, 60.65 60.65 60.65°
Sites, in units of the cell vectors:
Sr 0.039 0.771 0.562
Sr 0.229 0.438 0.961
Sr 0.438 0.961 0.229
Sr 0.562 0.039 0.771
Sr 0.771 0.562 0.039
Sr 0.961 0.229 0.438
Ca 0.075 0.075 0.075
Ca 0.169 0.310 0.623
Ca 0.310 0.623 0.169
Ca 0.377 0.831 0.690
Ca 0.623 0.169 0.310
Ca 0.690 0.377 0.831
Ca 0.831 0.690 0.377
Ca 0.925 0.925 0.925
Ac 0.500 0.500 0.500

Computed properties:
calculated total energy = -29.225 eV per cell
mass density = 2.480 Mg/m³

***

A relaxed Sr12Ca7Ac crystal, computed with GGA-PBE.

Cell: 13.111 13.111 13.111 Å, 116.50 116.50 116.50°
Sites, in units of the cell vectors:
Sr 0.025 0.061 0.377
Sr 0.061 0.377 0.025
Sr 0.084 0.464 0.640
Sr 0.360 0.916 0.536
Sr 0.377 0.025 0.061
Sr 0.464 0.640 0.084
Sr 0.536 0.360 0.916
Sr 0.623 0.975 0.939
Sr 0.640 0.084 0.464
Sr 0.916 0.536 0.360
Sr 0.939 0.623 0.975
Sr 0.975 0.939 0.623
Ca 0.000 0.000 0.000
Ca 0.178 0.458 0.402
Ca 0.402 0.178 0.458
Ca 0.458 0.402 0.178
Ca 0.542 0.598 0.822
Ca 0.598 0.822 0.542
Ca 0.822 0.542 0.598
Ac 0.500 0.500 0.500

Computed properties:
calculated total energy = -34.764 eV per cell
mass density = 2.422 Mg/m³

***

A relaxed Sr4Ca5Ac2 crystal, computed with GGA-PBE.

Cell: 9.993 3.932 13.306 Å, 90.00 93.89 90.00°
Sites, in units of the cell vectors:
Sr 0.156 0.000 0.397
Sr 0.295 0.000 0.947
Sr 0.705 0.000 0.053
Sr 0.844 0.000 0.603
Ca 0.210 0.500 0.671
Ca 0.425 0.500 0.217
Ca 0.500 0.500 0.500
Ca 0.575 0.500 0.783
Ca 0.790 0.500 0.329
Ac 0.056 0.500 0.135
Ac 0.944 0.500 0.865

Computed properties:
calculated total energy = -23.960 eV per cell
mass density = 3.199 Mg/m³

***

A relaxed Sr7Ca4Ac crystal, computed with GGA-PBE.

Cell: 9.755 9.755 11.051 Å, 117.06 117.06 41.21°
Sites, in units of the cell vectors:
Sr 0.000 0.000 0.000
Sr 0.264 0.264 0.736
Sr 0.306 0.306 0.127
Sr 0.418 0.418 0.570
Sr 0.582 0.582 0.430
Sr 0.694 0.694 0.873
Sr 0.736 0.736 0.264
Ca 0.050 0.050 0.703
Ca 0.173 0.173 0.354
Ca 0.827 0.827 0.646
Ca 0.950 0.950 0.297
Ac 0.500 0.500 0.000

Computed properties:
offset from the most stable computed form = 14.9 kJ/mol of atoms
mass density = 2.745 Mg/m³

***

A relaxed SrCa2Ac crystal, computed with GGA-PBE.

Cell: 13.333 13.333 13.333 Å, 17.23 17.23 17.23°
Sites, in units of the cell vectors:
Sr 0.000 0.000 0.000
Ca 0.418 0.418 0.418
Ca 0.581 0.581 0.581
Ac 0.833 0.833 0.833

Computed properties:
offset from the most stable computed form = 1.0 kJ/mol of atoms
mass density = 3.614 Mg/m³

***

- What is the mass density in the eighth record?
  3.614 Mg/m³